# 1
Computed, not measured: a geometry-optimized SmHo2Bi structure at the GGA-PBE level of DFT.

Unit cell a=4.8604 b=4.8906 c=4.8906 alpha=90.00 beta=90.00 gamma=90.00
Last column: nearest neighbours and their distance in Å.
Fractional positions:
Ho 0.0000 0.5000 0.0000  4 Bi 3.45, 4 Sm 3.45, 4 Ho 3.46
Ho 0.0000 0.0000 0.5000  4 Bi 3.45, 4 Sm 3.45, 4 Ho 3.46
Sm 0.5000 0.5000 0.5000  8 Ho 3.45, 4 Bi 3.46
Bi 0.5000 0.0000 0.0000  8 Ho 3.45, 4 Sm 3.46

Summary:
Formation energy = -349 meV per atom
Magnetic moment = 0.000 μB per formula unit
Energy above the most stable polymorph in this dataset = 38 kJ/mol of formula units
E_tot = -19.15 eV per cell
SG = P4/mmm

# 2
Computed, not measured: a geometry-optimized HfTiRh3 structure at the GGA-PBE level of DFT.

Unit cell a=4.5076 b=4.5076 c=4.5076 alpha=90.00 beta=90.00 gamma=90.00
Last column: nearest neighbours and their distance in Å.
Fractional positions:
Ti 0.0000 0.0000 0.0000  6 Rh 2.25
Rh 0.5000 0.0000 0.0000  2 Ti 2.25
Rh 0.0000 0.5000 0.0000  2 Ti 2.25
Rh 0.0000 0.0000 0.5000  2 Ti 2.25
Hf 0.5000 0.5000 0.5000  12 Rh 3.19

Summary:
Formation energy = 95 meV per atom
Magnetic moment = 0.000 μB per formula unit
Energy above the most stable polymorph in this dataset = 0 kJ/mol of formula units
E_tot = -39.43 eV per cell
SG = Pm-3m

# 3
Computed, not measured: a geometry-optimized LiAg2Pb structure at the GGA-PBE level of DFT.

Unit cell a=9.3706 b=9.3706 c=9.3706 alpha=19.94 beta=19.94 gamma=19.94
Last column: nearest neighbours and their distance in Å.
Fractional positions:
Li 0.5072 0.5072 0.5072  3 Ag 2.76
Ag 0.2477 0.2477 0.2477  3 Li 2.76, 3 Ag 2.88
Ag 0.9940 0.9940 0.9940  3 Ag 2.88, 3 Pb 3.11
Pb 0.7510 0.7510 0.7510  3 Li 3.10, 3 Ag 3.11, 6 Pb 3.24

Summary:
Formation energy = 6 meV per atom
Magnetic moment = 0.000 μB per formula unit
E_tot = -11.30 eV per cell
SG = R3m

# 4
Computed, not measured: a geometry-optimized SrIr2W structure at the GGA-PBE level of DFT.

Unit cell a=2.8164 b=4.0896 c=6.9807 alpha=90.00 beta=90.00 gamma=90.00
Last column: nearest neighbours and their distance in Å.
Fractional positions:
Ir 0.0000 0.0000 0.9813  4 W 2.66, 6 Ir 2.82-2.91
Ir 0.5000 0.5000 0.1984  1 W 2.47
W 0.5000 0.5000 0.8441  5 Ir 2.47-2.66
Sr 0.0000 0.0000 0.4762  2 Sr 2.82, 4 Ir 3.15

Summary:
Formation energy = 383 meV per atom
Magnetic moment = 0.000 μB per formula unit
Energy above the most stable polymorph in this dataset = 136 kJ/mol of formula units
E_tot = -30.83 eV per cell
SG = Pmm2

# 5
Computed, not measured: a geometry-optimized Mn2GaN structure at the GGA-PBE level of DFT.

Unit cell a=3.7425 b=5.1821 c=5.1769 alpha=110.72 beta=103.12 gamma=94.52
Last column: nearest neighbours and their distance in Å.
Fractional positions:
Mn 0.6648 0.8704 0.3777  3 N 1.90-1.98
Mn 0.0103 0.5810 0.0521  3 N 1.87-2.02
Mn 0.4486 0.7542 0.7904  2 N 1.88
Mn 0.3414 0.2138 0.6976  2 N 1.88-1.89
Ga 0.0377 0.0867 0.0491  5 Mn 2.46-2.62, 1 Ga 2.70
Ga 0.8051 0.4139 0.4932  7 Mn 2.52-2.70, 2 N 2.55-2.77, 1 Ga 2.70
N 0.1936 0.8294 0.4742  5 Mn 1.88-2.02
N 0.5005 0.5495 0.0279  5 Mn 1.87-1.90

Summary:
Magnetic moment = 1.988 μB per formula unit
E_tot = -60.50 eV per cell
SG = P1
E_form (uncorrected) = -54 kJ/mol of formula units

# 6
Computed, not measured: a geometry-optimized La4Cd2P structure at the GGA-PBE level of DFT.

Unit cell a=5.6285 b=5.6285 c=8.7548 alpha=108.75 beta=108.75 gamma=90.00
Last column: nearest neighbours and their distance in Å.
Fractional positions:
La 0.1825 0.1825 0.3649  1 P 2.85, 1 Cd 3.16
La 0.0000 0.5000 0.0000  2 P 2.81
La 0.5000 0.0000 0.0000  2 P 2.81
La 0.8175 0.8175 0.6351  1 P 2.85, 1 Cd 3.16
P 0.0000 0.0000 0.0000  6 La 2.81-2.85
Cd 0.6152 0.6152 0.2304  5 La 3.16-3.34
Cd 0.3848 0.3848 0.7696  5 La 3.16-3.34

Summary:
Formation energy = -472 meV per atom
Magnetic moment = 0.000 μB per formula unit
E_tot = -30.25 eV per cell
SG = I4/mmm

# 7
Computed, not measured: a geometry-optimized Ac12NdSm5 structure at the GGA-PBE level of DFT.

Unit cell a=11.6484 b=11.6255 c=6.7014 alpha=106.21 beta=90.00 gamma=59.93
Last column: nearest neighbours and their distance in Å.
Fractional positions:
Ac 0.9975 0.3336 0.0000  7 Ac 3.83-3.91, 4 Sm 3.85-3.91, 1 Nd 3.86
Ac 0.3312 0.6662 0.0000  7 Ac 3.83-3.91, 4 Sm 3.85-3.91, 1 Nd 3.86
Ac 0.4974 0.3334 0.4998  7 Ac 3.82-3.91, 5 Sm 3.86-3.91
Ac 0.1645 0.0001 0.4999  7 Ac 3.83-3.91, 2 Nd 3.86, 3 Sm 3.87-3.91
Ac 0.3363 0.9999 0.0000  7 Ac 3.82-3.91, 4 Sm 3.86, 1 Nd 3.92
Ac 0.6639 0.9999 0.0000  7 Ac 3.82-3.91, 4 Sm 3.86, 1 Nd 3.92
Ac 0.5024 0.6669 0.5002  7 Ac 3.82-3.91, 5 Sm 3.86-3.91
Ac 0.8307 0.6669 0.5002  7 Ac 3.82-3.91, 5 Sm 3.86-3.91
Ac 0.8354 0.0001 0.5000  7 Ac 3.83-3.91, 2 Nd 3.86, 3 Sm 3.87-3.91
Ac 0.1692 0.3334 0.4998  7 Ac 3.82-3.91, 5 Sm 3.86-3.91
Ac 0.6689 0.3335 0.0000  7 Ac 3.83-3.91, 4 Sm 3.86-3.91, 1 Nd 3.86
Ac 0.0027 0.6662 0.0000  7 Ac 3.83-3.91, 4 Sm 3.85-3.91, 1 Nd 3.86
Sm 0.1668 0.6664 0.4993  10 Ac 3.85-3.91, 1 Sm 3.90, 1 Nd 3.90
Sm 0.3334 0.3333 0.9999  10 Ac 3.86-3.91, 2 Sm 3.90
Sm 0.6668 0.6665 0.0000  10 Ac 3.86-3.91, 2 Sm 3.89-3.90
Sm 0.8330 0.3339 0.5009  10 Ac 3.85-3.91, 1 Sm 3.89, 1 Nd 3.91
Sm 0.4999 0.0002 0.5001  10 Ac 3.86-3.91, 2 Sm 3.90
Nd 0.0001 0.9998 0.9999  10 Ac 3.86-3.92, 2 Sm 3.90-3.91

Summary:
Formation energy = 43 meV per atom
Magnetic moment = 0.002 μB per formula unit
E_tot = -76.89 eV per cell
SG = C2/m

# 8
Computed, not measured: a geometry-optimized FeNiSnAu structure at the GGA-PBE level of DFT.

Unit cell a=4.4344 b=4.4344 c=4.4344 alpha=60.00 beta=60.00 gamma=60.00
Last column: nearest neighbours and their distance in Å.
Fractional positions:
Ni 0.0000 0.0000 0.0000  4 Au 2.72, 4 Sn 2.72
Au 0.2500 0.2500 0.2500  4 Fe 2.72, 4 Ni 2.72
Fe 0.5000 0.5000 0.5000  4 Sn 2.72, 4 Au 2.72
Sn 0.7500 0.7500 0.7500  4 Ni 2.72, 4 Fe 2.72

Summary:
Formation energy = 68 meV per atom
Magnetic moment = 2.634 μB per formula unit
E_tot = -21.25 eV per cell
SG = F-43m

# 9
Computed, not measured: a geometry-optimized Al2InAs structure at the GGA-PBE level of DFT.

Unit cell a=3.0186 b=3.0186 c=9.5514 alpha=90.00 beta=90.00 gamma=109.65
Last column: nearest neighbours and their distance in Å.
Fractional positions:
In 0.5000 0.5000 0.7500  4 In 3.02, 4 Al 3.14
Al 0.0000 0.0000 0.0237  2 As 2.77, 4 Al 3.02
Al 0.0000 0.0000 0.4763  2 As 2.77, 4 Al 3.02
As 0.5000 0.5000 0.2500  4 Al 2.77, 4 As 3.02

Summary:
Formation energy = 204 meV per atom
Magnetic moment = 0.000 μB per formula unit
Energy above the most stable polymorph in this dataset = 88 kJ/mol of formula units
E_tot = -14.06 eV per cell
SG = Cmmm

# 10
Computed, not measured: a geometry-optimized TbScNb structure at the GGA-PBE level of DFT.

Unit cell a=3.2289 b=4.7806 c=13.3225 alpha=111.08 beta=127.64 gamma=89.99
Last column: nearest neighbours and their distance in Å.
Fractional positions:
Sc 0.9530 0.3380 0.5879  1 Nb 3.21, 6 Sc 3.23-3.38, 5 Tb 3.32-3.43
Sc 0.0470 0.6620 0.4121  1 Nb 3.21, 6 Sc 3.23-3.38, 5 Tb 3.32-3.43
Nb 0.2667 0.3217 0.0721  2 Nb 2.80-2.81, 1 Tb 3.05
Nb 0.7333 0.6783 0.9279  2 Nb 2.80-2.81, 1 Tb 3.05
Tb 0.8883 0.0242 0.7737  5 Nb 3.05-3.30, 2 Tb 3.23, 3 Sc 3.32-3.41
Tb 0.1117 0.9758 0.2263  5 Nb 3.05-3.30, 2 Tb 3.23, 3 Sc 3.32-3.41

Summary:
Formation energy = 200 meV per atom
Magnetic moment = 0.000 μB per formula unit
Energy above the most stable polymorph in this dataset = 0 kJ/mol of formula units
E_tot = -40.86 eV per cell
SG = P-1

# 11
Computed, not measured: a geometry-optimized ErGePt6 structure at the GGA-PBE level of DFT.

Unit cell a=5.3527 b=5.3527 c=5.3527 alpha=90.08 beta=90.08 gamma=90.08
Last column: nearest neighbours and their distance in Å.
Fractional positions:
Pt 0.1769 0.1769 0.5442  1 Ge 2.46, 1 Pt 2.72
Pt 0.5442 0.1769 0.1769  1 Ge 2.46, 1 Pt 2.72
Pt 0.1769 0.5442 0.1769  1 Ge 2.46, 1 Pt 2.72
Pt 0.8231 0.8231 0.4558  1 Ge 2.46, 1 Pt 2.72
Pt 0.8231 0.4558 0.8231  1 Ge 2.46, 1 Pt 2.72
Pt 0.4558 0.8231 0.8231  1 Ge 2.46, 1 Pt 2.72
Ge 0.5000 0.5000 0.5000  6 Pt 2.46
Er 0.0000 0.0000 0.0000  6 Pt 2.78

Summary:
Formation energy = -261 meV per atom
Magnetic moment = 0.000 μB per formula unit
Energy above the most stable polymorph in this dataset = 304 kJ/mol of formula units
E_tot = -47.52 eV per cell
SG = R-3m

# 12
Computed, not measured: a geometry-optimized BaPm2Au2O6 structure at the GGA-PBE level of DFT.

Unit cell a=7.0705 b=6.5017 c=7.6146 alpha=124.20 beta=76.57 gamma=77.74
Last column: nearest neighbours and their distance in Å.
Fractional positions:
Pm 0.1355 0.6830 0.1823  6 O 2.24-2.44
Pm 0.8645 0.3170 0.8177  6 O 2.24-2.44
O 0.8864 0.5210 0.1916  1 Au 2.02, 1 Pm 2.24
O 0.5049 0.5290 0.1093  1 O 1.51
O 0.1378 0.8942 0.5663  1 Au 2.02, 1 Pm 2.25
O 0.1136 0.4790 0.8084  1 Au 2.02, 1 Pm 2.24
O 0.4951 0.4710 0.8907  1 O 1.51
O 0.8622 0.1058 0.4337  1 Au 2.02, 1 Pm 2.25
Au 0.8759 0.3132 0.3125  2 O 2.02
Au 0.1241 0.6868 0.6875  2 O 2.02
Ba 0.5000 0.0000 0.5000  6 O 2.80-2.81

Summary:
Magnetic moment = 0.000 μB per formula unit
E_tot = -69.05 eV per cell
SG = P-1
E_form (uncorrected) = -2057 kJ/mol of formula units